## Ca2GaCu3Ni12 (PBE-GGA)

Data for an optimized crystal structure of Ca2GaCu3Ni12.

raw total energy	-84.18	eV/cell
energy of formation from the pure elements	4.51	eV per formula unit

Lattice parameters (Å, degrees): 9.451 9.451 9.451 36.40 36.40 36.40
Fractional positions:
Ca 0.152 0.152 0.152
Ca 0.848 0.848 0.848
Ga 0.500 0.500 0.500
Cu 0.000 0.500 0.500
Cu 0.500 0.000 0.500
Cu 0.500 0.500 0.000
Ni 0.080 0.080 0.688
Ni 0.080 0.688 0.080
Ni 0.151 0.565 0.565
Ni 0.312 0.920 0.920
Ni 0.435 0.435 0.849
Ni 0.435 0.849 0.435
Ni 0.565 0.151 0.565
Ni 0.565 0.565 0.151
Ni 0.688 0.080 0.080
Ni 0.849 0.435 0.435
Ni 0.920 0.312 0.920
Ni 0.920 0.920 0.312


## InHgSb2Au4 (PBE-GGA)

Data for an optimized crystal structure of InHgSb2Au4.

raw formation energy	-0.040	eV per atom
raw total energy	-24.71	eV/cell

Lattice parameters (Å, degrees): 7.224 6.847 5.779 69.21 62.39 48.40
Fractional positions:
In 0.000 0.000 0.000
Hg 0.500 0.500 0.500
Sb 0.250 0.250 0.250
Sb 0.750 0.750 0.750
Au 0.000 0.000 0.500
Au 0.246 0.246 0.754
Au 0.500 0.500 0.000
Au 0.754 0.754 0.246


## Ta2AlFe2 (PBE-GGA)

Data for an optimized crystal structure of Ta2AlFe2.

raw total energy	-90.09	eV/cell
energy of formation from the pure elements	-0.67	eV per formula unit

Lattice parameters (Å, degrees): 6.946 6.946 3.041 90.00 90.00 90.00
Fractional positions:
Ta 0.167 0.333 0.000
Ta 0.333 0.833 0.000
Ta 0.667 0.167 0.000
Ta 0.833 0.667 0.000
Al 0.000 0.000 0.500
Al 0.500 0.500 0.500
Fe 0.133 0.633 0.500
Fe 0.367 0.133 0.500
Fe 0.633 0.867 0.500
Fe 0.867 0.367 0.500


## NaPr2Te (PBE-GGA)

Data for an optimized crystal structure of NaPr2Te.

raw formation energy	-0.497	eV per atom
raw total energy	-16.01	eV/cell

Lattice parameters (Å, degrees): 4.101 4.101 7.402 90.00 90.00 90.00
Fractional positions:
Na 0.000 0.000 0.000
Pr 0.500 0.500 0.263
Pr 0.500 0.500 0.737
Te 0.000 0.000 0.500


## DyHo2Zn (PBE-GGA)

Data for an optimized crystal structure of DyHo2Zn.

raw total energy	-45.87	eV/cell
energy of formation from the pure elements	-0.26	eV per formula unit
excess energy over the best structure of this formula in the dataset	97	meV/atom

Lattice parameters (Å, degrees): 3.540 3.540 30.831 90.00 90.00 120.00
Fractional positions:
Dy 0.000 0.000 0.000
Dy 0.333 0.667 0.667
Dy 0.667 0.333 0.333
Ho 0.000 0.000 0.239
Ho 0.000 0.000 0.761
Ho 0.333 0.667 0.427
Ho 0.333 0.667 0.906
Ho 0.667 0.333 0.094
Ho 0.667 0.333 0.573
Zn 0.000 0.000 0.500
Zn 0.333 0.667 0.167
Zn 0.667 0.333 0.833


## LiLaCd4 (PBE-GGA)

Data for an optimized crystal structure of LiLaCd4.

raw total energy	-22.20	eV/cell
energy of formation from the pure elements	-0.60	eV per formula unit
excess energy over the best structure of this formula in the dataset	149	meV/atom

Lattice parameters (Å, degrees): 4.146 4.146 19.280 90.00 90.00 90.00
Fractional positions:
Li 0.000 0.000 0.000
Li 0.500 0.500 0.500
La 0.000 0.500 0.250
La 0.500 0.000 0.750
Cd 0.000 0.000 0.428
Cd 0.000 0.000 0.572
Cd 0.000 0.500 0.669
Cd 0.000 0.500 0.831
Cd 0.500 0.000 0.169
Cd 0.500 0.000 0.331
Cd 0.500 0.500 0.072
Cd 0.500 0.500 0.928


## Sm4Ho5Th2 (PBE-GGA)

Data for an optimized crystal structure of Sm4Ho5Th2.

raw total energy	-56.33	eV/cell
energy of formation from the pure elements	0.28	eV per formula unit
excess energy over the best structure of this formula in the dataset	0	meV/atom

Lattice parameters (Å, degrees): 3.580 9.451 10.701 86.28 90.00 79.21
Fractional positions:
Sm 0.089 0.322 0.455
Sm 0.360 0.778 0.824
Sm 0.640 0.222 0.176
Sm 0.911 0.678 0.545
Ho 0.000 0.500 0.000
Ho 0.273 0.952 0.362
Ho 0.453 0.594 0.269
Ho 0.547 0.406 0.731
Ho 0.727 0.048 0.638
Th 0.183 0.134 0.907
Th 0.817 0.866 0.093


## ZnCo2Pt (PBE-GGA)

Data for an optimized crystal structure of ZnCo2Pt.

raw total energy	-82.40	eV/cell
energy of formation from the pure elements	0.93	eV per formula unit

Lattice parameters (Å, degrees): 3.549 3.549 17.983 90.00 90.00 90.00
Fractional positions:
Zn 0.000 0.000 0.000
Zn 0.000 0.500 0.250
Zn 0.500 0.000 0.750
Zn 0.500 0.500 0.500
Co 0.226 0.250 0.125
Co 0.250 0.726 0.375
Co 0.250 0.774 0.875
Co 0.274 0.250 0.625
Co 0.726 0.750 0.625
Co 0.750 0.226 0.875
Co 0.750 0.274 0.375
Co 0.774 0.750 0.125
Pt 0.000 0.000 0.500
Pt 0.000 0.500 0.750
Pt 0.500 0.000 0.250
Pt 0.500 0.500 0.000